Entry 1:
The following is a DFT calculation (PBE) of a relaxed FeIr2Cl crystal.

abc: 6.081 6.081 6.081
angles: 90.00 90.00 90.00
Sites, in units of the cell vectors:
Fe  0.000  0.000  0.000
Fe  0.000  0.500  0.500
Fe  0.500  0.000  0.500
Fe  0.500  0.500  0.000
Ir  0.250  0.250  0.250
Ir  0.250  0.250  0.750
Ir  0.250  0.750  0.250
Ir  0.250  0.750  0.750
Ir  0.750  0.250  0.250
Ir  0.750  0.250  0.750
Ir  0.750  0.750  0.250
Ir  0.750  0.750  0.750
Cl  0.000  0.000  0.500
Cl  0.000  0.500  0.000
Cl  0.500  0.000  0.000
Cl  0.500  0.500  0.500

The energy relative to the elements, uncorrected is 108.7 kJ per mole of atoms. The calculation puts the energy above the most stable polymorph in this dataset at 0.786 eV/atom. The magnetization comes out at 0.00 μB per formula unit. For the total DFT energy (no corrections), the calculation gives -5.881 eV/atom.


Entry 2:
The following is a DFT calculation (PBE) of a relaxed Na2MgGaAu2 crystal.

abc: 4.674 8.072 6.894
angles: 90.00 90.00 90.00
Sites, in units of the cell vectors:
Na  0.000  0.113  0.000
Na  0.000  0.887  0.500
Na  0.500  0.152  0.307
Na  0.500  0.848  0.807
Mg  0.500  0.474  0.005
Mg  0.500  0.526  0.505
Ga  0.000  0.280  0.603
Ga  0.000  0.720  0.103
Au  0.000  0.419  0.263
Au  0.000  0.581  0.763
Au  0.500  0.215  0.734
Au  0.500  0.785  0.234

The magnetization comes out at 0.00 μB per formula unit. For the total DFT energy (no corrections), the calculation gives -2.655 eV/atom.


Entry 3:
The following is a DFT calculation (PBE) of a relaxed Pr3IrSe2 crystal.

abc: 14.049 13.390 7.464
angles: 79.15 69.40 31.45
Sites, in units of the cell vectors:
Pr  0.038  0.537  0.194
Pr  0.105  0.645  0.645
Pr  0.194  0.731  0.038
Pr  0.269  0.806  0.463
Pr  0.355  0.895  0.895
Pr  0.463  0.962  0.269
Pr  0.537  0.038  0.731
Pr  0.645  0.105  0.105
Pr  0.731  0.194  0.537
Pr  0.806  0.269  0.962
Pr  0.895  0.355  0.355
Pr  0.962  0.463  0.806
Ir  0.041  0.041  0.209
Ir  0.209  0.209  0.041
Ir  0.791  0.791  0.959
Ir  0.959  0.959  0.791
Se  0.127  0.127  0.623
Se  0.295  0.295  0.455
Se  0.377  0.377  0.873
Se  0.455  0.455  0.295
Se  0.545  0.545  0.705
Se  0.623  0.623  0.127
Se  0.705  0.705  0.545
Se  0.873  0.873  0.377

The energy relative to the elements, uncorrected is -137.5 kJ per mole of atoms. The calculation puts the energy above the most stable polymorph in this dataset at 0.000 eV/atom. The magnetization comes out at 0.00 μB per formula unit. For the total DFT energy (no corrections), the calculation gives -6.453 eV/atom.


Entry 4:
The following is a DFT calculation (PBE) of a relaxed TaTcCl crystal.

abc: 6.076 6.076 6.076
angles: 90.00 90.00 90.00
Sites, in units of the cell vectors:
Ta  0.000  0.000  0.000
Ta  0.000  0.500  0.500
Ta  0.500  0.000  0.500
Ta  0.500  0.500  0.000
Tc  0.250  0.250  0.750
Tc  0.250  0.750  0.250
Tc  0.750  0.250  0.250
Tc  0.750  0.750  0.750
Cl  0.000  0.000  0.500
Cl  0.000  0.500  0.000
Cl  0.500  0.000  0.000
Cl  0.500  0.500  0.500

The energy relative to the elements, uncorrected is 72.4 kJ per mole of atoms. The calculation puts the energy above the most stable polymorph in this dataset at 0.884 eV/atom. The magnetization comes out at 0.00 μB per formula unit. For the total DFT energy (no corrections), the calculation gives -7.271 eV/atom.